A geometry-optimized TlCdFeS3 structure. Source: OQMD via LeMat-Bulk, functional PBE.

Unit cell a=8.090 b=3.694 c=10.336 alpha=90.00 beta=108.22 gamma=90.00
Space group P2_1/m (No. 11)
Unique sites:
Tl: 0.219 0.250 0.215 x2
Cd: 0.169 0.750 0.614 x2
Fe: 0.434 0.250 0.912 x2
S: 0.051 0.750 0.351 x2
S: 0.311 0.750 0.950 x2
S: 0.421 0.250 0.703 x2

Computed properties:
V = 24.45 Å³/atom
spin magnetization = 1.00 μB per formula unit
total DFT energy (no corrections) = -52.09 eV per cell
ρ = 5.307 Mg/m³

=====

A geometry-optimized CdFeTcSb structure. Source: OQMD via LeMat-Bulk, functional PBE.

Unit cell a=6.398 b=6.398 c=6.398 alpha=90.00 beta=90.00 gamma=90.00
Space group F-43m (No. 216)
Unique sites:
Cd: 0.000 0.000 0.000 x4
Fe: 0.250 0.250 0.750 x4
Tc: 0.250 0.250 0.250 x4
Sb: 0.000 0.000 0.500 x4

Computed properties:
V = 16.37 Å³/atom
spin magnetization = 1.50 μB per formula unit
energy above the most stable polymorph in this dataset = 0.0 meV/atom
ρ = 9.841 Mg/m³

=====

A geometry-optimized YCdFeSb structure. Source: OQMD via LeMat-Bulk, functional PBE.

Unit cell a=6.998 b=6.998 c=6.998 alpha=90.00 beta=90.00 gamma=90.00
Space group F-43m (No. 216)
Unique sites:
Y: 0.000 0.000 0.000 x4
Cd: 0.250 0.250 0.250 x4
Fe: 0.250 0.250 0.750 x4
Sb: 0.000 0.000 0.500 x4

Computed properties:
V = 21.42 Å³/atom
spin magnetization = 1.91 μB per formula unit
energy above the most stable polymorph in this dataset = 102.4 meV/atom
ρ = 7.344 Mg/m³

=====

A geometry-optimized YCdFeSb structure. Source: OQMD via LeMat-Bulk, functional PBE.

Unit cell a=7.005 b=7.005 c=7.005 alpha=90.00 beta=90.00 gamma=90.00
Space group F-43m (No. 216)
Unique sites:
Y: 0.000 0.000 0.000 x4
Cd: 0.250 0.250 0.750 x4
Fe: 0.000 0.000 0.500 x4
Sb: 0.250 0.250 0.250 x4

Computed properties:
V = 21.48 Å³/atom
spin magnetization = 2.04 μB per formula unit
energy above the most stable polymorph in this dataset = 0.0 meV/atom
ρ = 7.323 Mg/m³

=====

A geometry-optimized ZnCdFeSb structure. Source: OQMD via LeMat-Bulk, functional PBE.

Unit cell a=6.722 b=6.722 c=6.722 alpha=90.00 beta=90.00 gamma=90.00
Space group F-43m (No. 216)
Unique sites:
Zn: 0.000 0.000 0.000 x4
Cd: 0.250 0.250 0.750 x4
Fe: 0.000 0.000 0.500 x4
Sb: 0.250 0.250 0.250 x4

Computed properties:
V = 18.99 Å³/atom
spin magnetization = 2.77 μB per formula unit
energy above the most stable polymorph in this dataset = 0.0 meV/atom
ρ = 7.772 Mg/m³

=====

A geometry-optimized ZrCdFeSb structure. Source: OQMD via LeMat-Bulk, functional PBE.

Unit cell a=6.757 b=6.757 c=6.757 alpha=90.00 beta=90.00 gamma=90.00
Space group F-43m (No. 216)
Unique sites:
Zr: 0.000 0.000 0.000 x4
Cd: 0.250 0.250 0.750 x4
Fe: 0.000 0.000 0.500 x4
Sb: 0.250 0.250 0.250 x4

Computed properties:
V = 19.28 Å³/atom
spin magnetization = 1.65 μB per formula unit
energy above the most stable polymorph in this dataset = 0.0 meV/atom
ρ = 8.209 Mg/m³

=====

A geometry-optimized ZrCdFeSb structure. Source: OQMD via LeMat-Bulk, functional PBE.

Unit cell a=6.744 b=6.744 c=6.744 alpha=90.00 beta=90.00 gamma=90.00
Space group F-43m (No. 216)
Unique sites:
Zr: 0.000 0.000 0.000 x4
Cd: 0.250 0.250 0.250 x4
Fe: 0.250 0.250 0.750 x4
Sb: 0.000 0.000 0.500 x4

Computed properties:
V = 19.17 Å³/atom
spin magnetization = 0.92 μB per formula unit
energy above the most stable polymorph in this dataset = 52.6 meV/atom
ρ = 8.254 Mg/m³

=====

A geometry-optimized ScCdFeSn structure. Source: OQMD via LeMat-Bulk, functional PBE.

Unit cell a=6.697 b=6.697 c=6.697 alpha=90.00 beta=90.00 gamma=90.00
Space group F-43m (No. 216)
Unique sites:
Sc: 0.000 0.000 0.000 x4
Cd: 0.250 0.250 0.250 x4
Fe: 0.250 0.250 0.750 x4
Sn: 0.000 0.000 0.500 x4

Computed properties:
V = 18.78 Å³/atom
spin magnetization = 1.60 μB per formula unit
energy above the most stable polymorph in this dataset = 65.3 meV/atom
ρ = 7.339 Mg/m³

=====

A geometry-optimized ScCdFeSn structure. Source: OQMD via LeMat-Bulk, functional PBE.

Unit cell a=6.695 b=6.695 c=6.695 alpha=90.00 beta=90.00 gamma=90.00
Space group F-43m (No. 216)
Unique sites:
Sc: 0.000 0.000 0.000 x4
Cd: 0.250 0.250 0.750 x4
Fe: 0.000 0.000 0.500 x4
Sn: 0.250 0.250 0.250 x4

Computed properties:
V = 18.75 Å³/atom
spin magnetization = 2.14 μB per formula unit
energy above the most stable polymorph in this dataset = 0.0 meV/atom
ρ = 7.347 Mg/m³

=====

A geometry-optimized ScTlCdFe structure. Source: OQMD via LeMat-Bulk, functional PBE.

Unit cell a=6.755 b=6.755 c=6.755 alpha=90.00 beta=90.00 gamma=90.00
Space group F-43m (No. 216)
Unique sites:
Sc: 0.000 0.000 0.000 x4
Tl: 0.250 0.250 0.250 x4
Cd: 0.250 0.250 0.750 x4
Fe: 0.000 0.000 0.500 x4

Computed properties:
V = 19.27 Å³/atom
spin magnetization = 2.41 μB per formula unit
energy above the most stable polymorph in this dataset = 0.0 meV/atom
ρ = 8.997 Mg/m³

=====

A geometry-optimized ScTlCdFe structure. Source: OQMD via LeMat-Bulk, functional PBE.

Unit cell a=6.786 b=6.786 c=6.786 alpha=90.00 beta=90.00 gamma=90.00
Space group F-43m (No. 216)
Unique sites:
Sc: 0.000 0.000 0.000 x4
Tl: 0.000 0.000 0.500 x4
Cd: 0.250 0.250 0.250 x4
Fe: 0.250 0.250 0.750 x4

Computed properties:
V = 19.53 Å³/atom
spin magnetization = 1.94 μB per formula unit
energy above the most stable polymorph in this dataset = 83.7 meV/atom
ρ = 8.877 Mg/m³

=====

A geometry-optimized ScZnCdFe structure. Source: OQMD via LeMat-Bulk, functional PBE.

Unit cell a=6.483 b=6.483 c=6.483 alpha=90.00 beta=90.00 gamma=90.00
Space group F-43m (No. 216)
Unique sites:
Sc: 0.000 0.000 0.000 x4
Zn: 0.000 0.000 0.500 x4
Cd: 0.250 0.250 0.250 x4
Fe: 0.250 0.250 0.750 x4

Computed properties:
V = 17.03 Å³/atom
ΔE_f = 0.08 eV/atom
spin magnetization = 1.77 μB per formula unit
energy above the most stable polymorph in this dataset = 66.4 meV/atom
ρ = 6.793 Mg/m³

=====

A geometry-optimized ScZnCdFe structure. Source: OQMD via LeMat-Bulk, functional PBE.

Unit cell a=6.493 b=6.493 c=6.493 alpha=90.00 beta=90.00 gamma=90.00
Space group F-43m (No. 216)
Unique sites:
Sc: 0.000 0.000 0.000 x4
Zn: 0.250 0.250 0.250 x4
Cd: 0.250 0.250 0.750 x4
Fe: 0.000 0.000 0.500 x4

Computed properties:
V = 17.11 Å³/atom
ΔE_f = 0.01 eV/atom
spin magnetization = 2.45 μB per formula unit
energy above the most stable polymorph in this dataset = 0.0 meV/atom
ρ = 6.761 Mg/m³

=====

A geometry-optimized CdFeSnSe3 structure. Source: OQMD via LeMat-Bulk, functional PBE.

Unit cell a=3.684 b=16.164 c=9.551 alpha=90.00 beta=90.00 gamma=90.00
Space group Cmcm (No. 63)
Unique sites:
Cd: 0.000 0.195 0.250 x4
Fe: 0.000 0.500 0.000 x4
Sn: 0.000 0.160 0.750 x4
Se: 0.000 0.098 0.025 x8
Se: 0.000 0.467 0.250 x4

Computed properties:
V = 23.70 Å³/atom
spin magnetization = 0.80 μB per formula unit
energy above the most stable polymorph in this dataset = 18.7 meV/atom
ρ = 6.118 Mg/m³

=====

A geometry-optimized CdFeSnSe3 structure. Source: OQMD via LeMat-Bulk, functional PBE.

Unit cell a=3.969 b=13.257 c=10.901 alpha=90.00 beta=90.00 gamma=90.00
Space group Cmcm (No. 63)
Unique sites:
Cd: 0.000 0.000 0.000 x4
Fe: 0.000 0.464 0.250 x4
Sn: 0.000 0.229 0.750 x4
Se: 0.000 0.078 0.250 x4
Se: 0.000 0.358 0.068 x8

Computed properties:
V = 23.90 Å³/atom
spin magnetization = 3.99 μB per formula unit
energy above the most stable polymorph in this dataset = 0.0 meV/atom
ρ = 6.066 Mg/m³

=====

A geometry-optimized SrCdFeSe3 structure. Source: OQMD via LeMat-Bulk, functional PBE.

Unit cell a=4.128 b=13.431 c=10.654 alpha=90.00 beta=90.00 gamma=90.00
Space group Cmcm (No. 63)
Unique sites:
Sr: 0.000 0.247 0.250 x4
Cd: 0.000 0.500 0.000 x4
Fe: 0.000 0.034 0.750 x4
Se: 0.000 0.140 0.566 x8
Se: 0.000 0.426 0.750 x4

Computed properties:
V = 24.61 Å³/atom
spin magnetization = 4.00 μB per formula unit
total DFT energy (no corrections) = -104.86 eV per cell
ρ = 5.541 Mg/m³

=====

A geometry-optimized TaCdFeSi structure. Source: OQMD via LeMat-Bulk, functional PBE.

Unit cell a=6.283 b=6.283 c=6.283 alpha=90.00 beta=90.00 gamma=90.00
Space group F-43m (No. 216)
Unique sites:
Ta: 0.000 0.000 0.000 x4
Cd: 0.250 0.250 0.750 x4
Fe: 0.000 0.000 0.500 x4
Si: 0.250 0.250 0.250 x4

Computed properties:
V = 15.50 Å³/atom
spin magnetization = 1.91 μB per formula unit
energy above the most stable polymorph in this dataset = 0.0 meV/atom
ρ = 10.104 Mg/m³

=====

A geometry-optimized TaCdFeSi structure. Source: OQMD via LeMat-Bulk, functional PBE.

Unit cell a=6.272 b=6.272 c=6.272 alpha=90.00 beta=90.00 gamma=90.00
Space group F-43m (No. 216)
Unique sites:
Ta: 0.000 0.000 0.000 x4
Cd: 0.250 0.250 0.250 x4
Fe: 0.250 0.250 0.750 x4
Si: 0.000 0.000 0.500 x4

Computed properties:
V = 15.42 Å³/atom
spin magnetization = 0.85 μB per formula unit
energy above the most stable polymorph in this dataset = 68.2 meV/atom
ρ = 10.156 Mg/m³

=====

A geometry-optimized ZnCdFeSi structure. Source: OQMD via LeMat-Bulk, functional PBE.

Unit cell a=6.200 b=6.200 c=6.200 alpha=90.00 beta=90.00 gamma=90.00
Space group F-43m (No. 216)
Unique sites:
Zn: 0.000 0.000 0.000 x4
Cd: 0.250 0.250 0.250 x4
Fe: 0.250 0.250 0.750 x4
Si: 0.000 0.000 0.500 x4

Computed properties:
V = 14.90 Å³/atom
spin magnetization = 1.67 μB per formula unit
energy above the most stable polymorph in this dataset = 4.2 meV/atom
ρ = 7.295 Mg/m³

=====

A geometry-optimized ZnCdFeSi structure. Source: OQMD via LeMat-Bulk, functional PBE.

Unit cell a=6.198 b=6.198 c=6.198 alpha=90.00 beta=90.00 gamma=90.00
Space group F-43m (No. 216)
Unique sites:
Zn: 0.000 0.000 0.000 x4
Cd: 0.250 0.250 0.750 x4
Fe: 0.000 0.000 0.500 x4
Si: 0.250 0.250 0.250 x4

Computed properties:
V = 14.88 Å³/atom
spin magnetization = 1.67 μB per formula unit
energy above the most stable polymorph in this dataset = 0.0 meV/atom
ρ = 7.300 Mg/m³

=====

A geometry-optimized ZrCdFeSi structure. Source: OQMD via LeMat-Bulk, functional PBE.

Unit cell a=6.351 b=6.351 c=6.351 alpha=90.00 beta=90.00 gamma=90.00
Space group F-43m (No. 216)
Unique sites:
Zr: 0.000 0.000 0.000 x4
Cd: 0.250 0.250 0.250 x4
Fe: 0.250 0.250 0.750 x4
Si: 0.000 0.000 0.500 x4

Computed properties:
V = 16.01 Å³/atom
spin magnetization = 0.00 μB per formula unit
energy above the most stable polymorph in this dataset = 51.3 meV/atom
ρ = 7.456 Mg/m³

=====

A geometry-optimized ZrCdFeSi structure. Source: OQMD via LeMat-Bulk, functional PBE.

Unit cell a=6.437 b=6.437 c=6.437 alpha=90.00 beta=90.00 gamma=90.00
Space group F-43m (No. 216)
Unique sites:
Zr: 0.000 0.000 0.000 x4
Cd: 0.250 0.250 0.750 x4
Fe: 0.000 0.000 0.500 x4
Si: 0.250 0.250 0.250 x4

Computed properties:
V = 16.67 Å³/atom
spin magnetization = 2.00 μB per formula unit
energy above the most stable polymorph in this dataset = 0.0 meV/atom
ρ = 7.162 Mg/m³

=====

A geometry-optimized SmCdFe structure. Source: OQMD via LeMat-Bulk, functional PBE.

Unit cell a=6.730 b=6.730 c=6.730 alpha=90.00 beta=90.00 gamma=90.00
Space group F-43m (No. 216)
Unique sites:
Sm: 0.000 0.000 0.000 x4
Cd: 0.250 0.250 0.750 x4
Fe: 0.250 0.250 0.250 x4

Computed properties:
V = 25.41 Å³/atom
ΔE_f = 0.84 eV/atom
spin magnetization = 2.13 μB per formula unit
ρ = 6.942 Mg/m³

=====

A geometry-optimized Sm4Cd3Fe2 structure. Source: OQMD via LeMat-Bulk, functional PBE.

Unit cell a=7.490 b=3.778 c=8.172 alpha=90.00 beta=108.99 gamma=90.00
Space group P2/m (No. 10)
Unique sites:
Sm: 0.090 0.000 0.221 x2
Sm: 0.389 0.000 0.696 x2
Cd: 0.000 0.500 0.500 x1
Cd: 0.296 0.500 0.009 x2
Fe: 0.360 0.500 0.405 x2

Computed properties:
V = 24.30 Å³/atom
ΔE_f = -0.17 eV/atom
spin magnetization = 2.80 μB per formula unit
ρ = 7.977 Mg/m³

=====

A geometry-optimized Cd2FeSn structure. Source: OQMD via LeMat-Bulk, functional PBE.

Unit cell a=6.669 b=6.669 c=6.669 alpha=90.00 beta=90.00 gamma=90.00
Space group F-43m (No. 216)
Unique sites:
Cd: 0.000 0.000 0.000 x4
Cd: 0.250 0.250 0.250 x4
Fe: 0.250 0.250 0.750 x4
Sn: 0.000 0.000 0.500 x4

Computed properties:
V = 18.54 Å³/atom
spin magnetization = 2.20 μB per formula unit
total DFT energy (no corrections) = -49.30 eV per cell
ρ = 8.944 Mg/m³

=====

A geometry-optimized CdFeSn2 structure. Source: OQMD via LeMat-Bulk, functional PBE.

Unit cell a=6.936 b=6.936 c=6.936 alpha=90.00 beta=90.00 gamma=90.00
Space group F-43m (No. 216)
Unique sites:
Cd: 0.000 0.000 0.000 x4
Fe: 0.250 0.250 0.250 x4
Sn: 0.000 0.000 0.500 x4
Sn: 0.250 0.250 0.750 x4

Computed properties:
V = 20.85 Å³/atom
spin magnetization = 2.43 μB per formula unit
total DFT energy (no corrections) = -60.66 eV per cell
ρ = 8.076 Mg/m³

=====

A geometry-optimized YCdFeSn structure. Source: OQMD via LeMat-Bulk, functional PBE.

Unit cell a=6.978 b=6.978 c=6.978 alpha=90.00 beta=90.00 gamma=90.00
Space group F-43m (No. 216)
Unique sites:
Y: 0.000 0.000 0.000 x4
Cd: 0.250 0.250 0.750 x4
Fe: 0.000 0.000 0.500 x4
Sn: 0.250 0.250 0.250 x4

Computed properties:
V = 21.23 Å³/atom
spin magnetization = 2.46 μB per formula unit
energy above the most stable polymorph in this dataset = 0.0 meV/atom
ρ = 7.349 Mg/m³

=====

A geometry-optimized YCdFeSn structure. Source: OQMD via LeMat-Bulk, functional PBE.

Unit cell a=6.932 b=6.932 c=6.932 alpha=90.00 beta=90.00 gamma=90.00
Space group F-43m (No. 216)
Unique sites:
Y: 0.000 0.000 0.000 x4
Cd: 0.250 0.250 0.250 x4
Fe: 0.250 0.250 0.750 x4
Sn: 0.000 0.000 0.500 x4

Computed properties:
V = 20.81 Å³/atom
spin magnetization = 1.87 μB per formula unit
energy above the most stable polymorph in this dataset = 52.0 meV/atom
ρ = 7.497 Mg/m³

=====

A geometry-optimized ZrCdFeSn structure. Source: OQMD via LeMat-Bulk, functional PBE.

Unit cell a=6.694 b=6.694 c=6.694 alpha=90.00 beta=90.00 gamma=90.00
Space group F-43m (No. 216)
Unique sites:
Zr: 0.000 0.000 0.000 x4
Cd: 0.250 0.250 0.250 x4
Fe: 0.250 0.250 0.750 x4
Sn: 0.000 0.000 0.500 x4

Computed properties:
V = 18.75 Å³/atom
spin magnetization = 1.05 μB per formula unit
energy above the most stable polymorph in this dataset = 0.0 meV/atom
ρ = 8.373 Mg/m³